(1)
VASP calculation (PBE) on an optimized crystal structure of Pm6DyTm5.

a b c (Å): 5.080 9.995 15.220
angles (deg): 90.00 90.00 90.00
Space group Immm (No. 71)
One atom of each set of equivalent atoms:
Pm: 0.000 0.249 0.000 [4 per cell]
Pm: 0.000 0.251 0.333 [8 per cell]
Dy: 0.000 0.000 0.500 [2 per cell]
Tm: 0.000 0.000 0.167 [4 per cell]
Tm: 0.000 0.500 0.167 [4 per cell]
Tm: 0.000 0.500 0.500 [2 per cell]

***

(2)
VASP calculation (PBE) on an optimized crystal structure of GdYAgPt.

a b c (Å): 7.150 7.150 7.150
angles (deg): 90.00 90.00 90.00
Space group F-43m (No. 216)
One atom of each set of equivalent atoms:
Gd: 0.000 0.000 0.000 [4 per cell]
Y: 0.000 0.000 0.500 [4 per cell]
Ag: 0.250 0.250 0.750 [4 per cell]
Pt: 0.250 0.250 0.250 [4 per cell]

***

| no. | DFT formation energy (meV per atom) | uncorrected energy (eV per atom) |
| --- | --- | --- |
| 1 | 18 | -4.604 |
| 2 | -757 | -8.116 |